Here is a geometry-optimized KPuBr4 structure from Alexandria via LeMat-Bulk. Energies are from PBE.

The structure in POSCAR format:
```
KPuBr4
1.0
6.628 -2.230 0.000
6.628 2.230 0.000
-1.968 0.000 8.208
K Pu Br
1 1 4
Cartesian
0.000 0.000 0.000 K
5.644 0.000 4.104 Pu
0.774 0.000 3.364 Br
4.702 0.000 1.438 Br
6.587 0.000 6.770 Br
10.514 0.000 4.843 Br
```

Values from the calculation:
- volume (Å³ per atom) = 40.44
- total magnetization (μB/f.u.) = 5.0
- energy above the lowest structure with this stoichiometry (meV/atom) = 0
- symmetry = C2/m, No. 12
- calculated total energy (eV for the cell shown) = -31.7
- crystal system = monoclinic
- uncorrected formation energy (eV per atom) = -1.5936